8
Lattice="6.909 0.000 0.000 0.000 4.005 0.000 -2.316 0.000 6.517" Properties=species:S:1:pos:R:3 comment="PBE-GGA Y2PuPaP4, optimized geometry" e_form_ev_per_atom=-1.45 dft_energy_ev_per_atom=-8.746 pbc="T T T"
Y 0.000 0.000 0.000
Y -1.158 2.002 3.259
Pu 2.297 0.000 3.259
Pa 3.455 2.002 0.000
P 0.011 0.000 4.915
P 1.188 2.002 1.625
P 3.406 2.002 4.892
P 4.582 0.000 1.602

=====

10
Lattice="2.452 -12.522 0.000 2.452 12.522 0.000 0.000 0.000 4.807" Properties=species:S:1:pos:R:3 comment="PBE-GGA PmTl2Pb2, optimized geometry" e_form_ev_per_atom=-0.18 dft_energy_ev_per_atom=-3.557 pbc="T T T"
Pm 2.452 8.654 3.605
Pm 2.452 -8.654 1.202
Tl 2.452 6.223 1.202
Tl 2.452 3.819 3.605
Tl 2.452 -3.819 1.202
Tl 2.452 -6.223 3.605
Pb 2.452 11.163 1.202
Pb 2.452 1.260 1.202
Pb 2.452 -1.260 3.605
Pb 2.452 -11.163 3.605

=====

12
Lattice="8.043 0.000 0.000 0.000 3.671 0.000 -1.545 0.000 9.255" Properties=species:S:1:pos:R:3 comment="PBE-GGA RbThTiN3, optimized geometry" dft_energy_ev_per_atom=-7.959 formation_energy_uncorrected_ev_per_atom=-1.08 pbc="T T T"
Rb 0.974 0.918 1.857
Rb 5.524 2.753 7.397
Th 1.697 2.753 7.933
Th 4.801 0.918 1.322
Ti -0.009 0.918 5.388
Ti 6.508 2.753 3.867
N 0.284 2.753 4.599
N 0.209 0.918 7.217
N 3.328 2.753 0.948
N 3.170 0.918 8.307
N 6.289 2.753 2.038
N 6.215 0.918 4.655

=====

Number 1: theoretical density 7.152 g/cm3. Number 2: theoretical density 10.892 g/cm3. Number 3: theoretical density 4.951 g/cm3.